{
  "formula": "LaSbPdI2",
  "functional": "PBE-GGA",
  "state": "optimized geometry",
  "spacegroup": "No. 123",
  "n_ef_per_ev_cell": 8.4,
  "formation_energy_uncorrected_ev_per_fu": 0.38,
  "lattice": [[-4.4709, 0.9188, 4.2021], [-0.2207, -6.1019, 1.0993], [4.4436, 0.6648, 4.5825]],
  "species": ["I", "I", "Sb", "Pd", "La"],
  "fractional_positions": [[0.0000, 0.5000, 0.0000], [0.5000, 0.0000, 0.0000], [0.0000, 0.0000, 0.5000], [0.5000, 0.5000, 0.5000], [0.0000, 0.0000, 0.0000]]
}



{
  "formula": "Ca4Eu2H",
  "functional": "PBE-GGA",
  "state": "optimized geometry",
  "spacegroup": "No. 139",
  "n_ef_per_ev_cell": 23.8,
  "energy_ev_per_fu": -31.68,
  "lattice": [[5.0617, 0.0000, 0.0000], [0.0000, 5.0617, 0.0000], [-2.5308, -2.5308, 9.9803]],
  "species": ["Eu", "Eu", "H", "Ca", "Ca", "Ca", "Ca"],
  "fractional_positions": [[0.6821, 0.6821, 0.3643], [0.3179, 0.3179, 0.6357], [0.0000, 0.0000, 0.0000], [0.8697, 0.8697, 0.7394], [0.1303, 0.1303, 0.2606], [0.0000, 0.5000, 0.0000], [0.5000, 0.0000, 0.0000]]
}



{
  "formula": "La3Pr2",
  "functional": "PBE-GGA",
  "state": "optimized geometry",
  "spacegroup": "No. 136",
  "n_ef_per_ev_cell": 27.7,
  "e_form_mev_per_atom": 90,
  "lattice": [[7.6636, 0.0000, 0.0000], [0.0000, 9.8766, 0.0000], [0.0000, 0.0000, 9.8766]],
  "species": ["La", "La", "La", "La", "La", "La", "La", "La", "La", "La", "La", "La", "Pr", "Pr", "Pr", "Pr", "Pr", "Pr", "Pr", "Pr"],
  "fractional_positions": [[0.2500, 0.0000, 0.5000], [0.7500, 0.0000, 0.5000], [0.2500, 0.5000, 0.0000], [0.7500, 0.5000, 0.0000], [0.0000, 0.3291, 0.3291], [0.0000, 0.6709, 0.6709], [0.5000, 0.1709, 0.8291], [0.5000, 0.8291, 0.1709], [0.0000, 0.1751, 0.8249], [0.0000, 0.8249, 0.1751], [0.5000, 0.6751, 0.6751], [0.5000, 0.3249, 0.3249], [0.2475, 0.1269, 0.1269], [0.2475, 0.8731, 0.8731], [0.7475, 0.3731, 0.6269], [0.7475, 0.6269, 0.3731], [0.2525, 0.3731, 0.6269], [0.2525, 0.6269, 0.3731], [0.7525, 0.1269, 0.1269], [0.7525, 0.8731, 0.8731]]
}



Copy entry 1 word for word.
{
  "formula": "LaSbPdI2",
  "functional": "PBE-GGA",
  "state": "optimized geometry",
  "spacegroup": "No. 123",
  "n_ef_per_ev_cell": 8.4,
  "formation_energy_uncorrected_ev_per_fu": 0.38,
  "lattice": [[-4.4709, 0.9188, 4.2021], [-0.2207, -6.1019, 1.0993], [4.4436, 0.6648, 4.5825]],
  "species": ["I", "I", "Sb", "Pd", "La"],
  "fractional_positions": [[0.0000, 0.5000, 0.0000], [0.5000, 0.0000, 0.0000], [0.0000, 0.0000, 0.5000], [0.5000, 0.5000, 0.5000], [0.0000, 0.0000, 0.0000]]
}